(1)
Below is Zn2MoP after structural relaxation, with properties calculated at the GGA-PBE level.

- raw total energy (hartree per atom) = -0.162
- space group = No. 123

Lattice parameters (Å, degrees): 2.6884 2.6884 8.4339 90.00 90.00 90.00
Element x y z (fractional)
Zn  0.0000  0.0000  0.2445
Zn  0.0000  0.0000  0.7555
Mo  0.5000  0.5000  0.0000
P  0.5000  0.5000  0.5000



(2)
Below is Zr2MoP after structural relaxation, with properties calculated at the GGA-PBE level.

- raw total energy (hartree per atom) = -0.322
- space group = No. 166

Lattice parameters (Å, degrees): 7.6878 7.6878 7.6878 26.03 26.03 26.03
Element x y z (fractional)
Zr  0.2419  0.2419  0.2419
Zr  0.7581  0.7581  0.7581
Mo  0.0000  0.0000  0.0000
P  0.5000  0.5000  0.5000



(3)
Below is Zr2MoP after structural relaxation, with properties calculated at the GGA-PBE level.

- raw total energy (hartree per atom) = -0.316
- space group = No. 12

Lattice parameters (Å, degrees): 4.7608 4.7608 4.8614 107.52 107.52 44.20
Element x y z (fractional)
Zr  0.2353  0.2353  0.2288
Zr  0.7647  0.7647  0.7712
Mo  0.0000  0.0000  0.5000
P  0.5000  0.5000  0.0000